(1)
# ZnSbTe2Cl, optimized geometry, DFT PBE-GGA
# Formation energy (no corrections) = 0.36 eV/atom
# Size of the total moment = 0.00 μB per cell
# Fermi-level density of states = 0.68 states/eV per atom
# Relative energy among the computed polymorphs = 0.0000 eV per atom
data_ZnSbTe2Cl
_space_group_name_H-M_alt 'P 4/m m m'
_space_group_IT_number 123
_space_group_name_Hall '-P 4 2'
_cell_length_a 5.246
_cell_length_b 5.246
_cell_length_c 5.403
_cell_angle_alpha 90.00
_cell_angle_beta 90.00
_cell_angle_gamma 90.00
loop_
_atom_site_label
_atom_site_type_symbol
_atom_site_fract_x
_atom_site_fract_y
_atom_site_fract_z
Zn1 Zn 0.000 0.000 0.000
Sb1 Sb 0.000 0.000 0.500
Te1 Te 0.000 0.500 0.000
Cl1 Cl 0.500 0.500 0.500

=====

(2)
# CaMgAgGe, optimized geometry, DFT PBE-GGA
# Size of the total moment = 0.00 μB per cell
# Fermi-level density of states = 0.68 states/eV per atom
# Formation energy = -1.30 eV per formula unit
data_CaMgAgGe
_space_group_name_H-M_alt 'F -4 3 m'
_space_group_IT_number 216
_space_group_name_Hall 'F -4 2 3'
_cell_length_a 6.994
_cell_length_b 6.994
_cell_length_c 6.994
_cell_angle_alpha 90.00
_cell_angle_beta 90.00
_cell_angle_gamma 90.00
loop_
_atom_site_label
_atom_site_type_symbol
_atom_site_fract_x
_atom_site_fract_y
_atom_site_fract_z
Ca1 Ca 0.000 0.000 0.000
Mg1 Mg 0.000 0.000 0.500
Ag1 Ag 0.250 0.250 0.750
Ge1 Ge 0.250 0.250 0.250

=====

(3)
# KZn3Ir, optimized geometry, DFT PBE-GGA
# Size of the total moment = 2.00 μB per cell
# Fermi-level density of states = 0.02 states/eV per atom
# Relative energy among the computed polymorphs = 1.8794 eV per atom
# Formation energy = 8.80 eV per formula unit
data_KZn3Ir
_space_group_name_H-M_alt 'P m -3 m'
_space_group_IT_number 221
_space_group_name_Hall '-P 4 2 3'
_cell_length_a 6.080
_cell_length_b 6.080
_cell_length_c 6.080
_cell_angle_alpha 90.00
_cell_angle_beta 90.00
_cell_angle_gamma 90.00
loop_
_atom_site_label
_atom_site_type_symbol
_atom_site_fract_x
_atom_site_fract_y
_atom_site_fract_z
K1 K 0.000 0.000 0.000
Zn1 Zn 0.000 0.000 0.500
Ir1 Ir 0.500 0.500 0.500

=====

(4)
# Tb3SbSe6, optimized geometry, DFT PBE-GGA
# Formation energy (no corrections) = -1.43 eV/atom
# Size of the total moment = 0.00 μB per cell
# Relative energy among the computed polymorphs = 0.0000 eV per atom
data_Tb3SbSe6
_space_group_name_H-M_alt 'P 1 21/m 1'
_space_group_IT_number 11
_space_group_name_Hall '-P 2yb'
_cell_length_a 11.915
_cell_length_b 4.159
_cell_length_c 11.951
_cell_angle_alpha 90.00
_cell_angle_beta 109.54
_cell_angle_gamma 90.00
loop_
_atom_site_label
_atom_site_type_symbol
_atom_site_fract_x
_atom_site_fract_y
_atom_site_fract_z
Tb1 Tb 0.010 0.250 0.336
Tb2 Tb 0.334 0.750 0.428
Tb3 Tb 0.428 0.250 0.841
Sb1 Sb 0.183 0.750 0.994
Se1 Se 0.027 0.250 0.882
Se2 Se 0.121 0.750 0.490
Se3 Se 0.220 0.250 0.268
Se4 Se 0.246 0.750 0.796
Se5 Se 0.401 0.250 0.074
Se6 Se 0.437 0.250 0.606

=====

(5)
# HfMn2Si2, optimized geometry, DFT PBE-GGA
# Formation energy (no corrections) = -0.36 eV/atom
# Size of the total moment = 6.64 μB per cell
# Fermi-level density of states = 0.75 states/eV per atom
data_HfMn2Si2
_space_group_name_H-M_alt 'P 4/m b m'
_space_group_IT_number 127
_space_group_name_Hall '-P 4 2ab'
_cell_length_a 7.090
_cell_length_b 7.090
_cell_length_c 2.719
_cell_angle_alpha 90.00
_cell_angle_beta 90.00
_cell_angle_gamma 90.00
loop_
_atom_site_label
_atom_site_type_symbol
_atom_site_fract_x
_atom_site_fract_y
_atom_site_fract_z
Hf1 Hf 0.000 0.000 0.000
Mn1 Mn 0.145 0.355 0.500
Si1 Si 0.143 0.643 0.000

=====

(6)
# SrIr2O7, optimized geometry, DFT PBE-GGA
# Formation energy (no corrections) = -0.92 eV/atom
# Size of the total moment = 1.62 μB per cell
# Fermi-level density of states = 0.62 states/eV per atom
data_SrIr2O7
_space_group_name_H-M_alt 'C m m m'
_space_group_IT_number 65
_space_group_name_Hall '-C 2 2'
_cell_length_a 6.417
_cell_length_b 10.008
_cell_length_c 3.814
_cell_angle_alpha 90.00
_cell_angle_beta 90.00
_cell_angle_gamma 90.00
loop_
_atom_site_label
_atom_site_type_symbol
_atom_site_fract_x
_atom_site_fract_y
_atom_site_fract_z
Sr1 Sr 0.000 0.000 0.000
Ir1 Ir 0.000 0.304 0.500
O1 O 0.000 0.294 0.000
O2 O 0.000 0.500 0.500
O3 O 0.183 0.142 0.500

=====

(7)
# BeCo3Ge, optimized geometry, DFT PBE-GGA
# Size of the total moment = 1.06 μB per cell
# Fermi-level density of states = 0.42 states/eV per atom
# Relative energy among the computed polymorphs = 0.2024 eV per atom
# Formation energy = 1.62 eV per formula unit
data_BeCo3Ge
_space_group_name_H-M_alt 'P m -3 m'
_space_group_IT_number 221
_space_group_name_Hall '-P 4 2 3'
_cell_length_a 3.833
_cell_length_b 3.833
_cell_length_c 3.833
_cell_angle_alpha 90.00
_cell_angle_beta 90.00
_cell_angle_gamma 90.00
loop_
_atom_site_label
_atom_site_type_symbol
_atom_site_fract_x
_atom_site_fract_y
_atom_site_fract_z
Be1 Be 0.000 0.000 0.000
Co1 Co 0.000 0.000 0.500
Ge1 Ge 0.500 0.500 0.500

=====

(8)
# KNd2SmS4, optimized geometry, DFT PBE-GGA
# Formation energy (no corrections) = -1.89 eV/atom
# Size of the total moment = 0.00 μB per cell
# Fermi-level density of states = 0.35 states/eV per atom
data_KNd2SmS4
_space_group_name_H-M_alt 'P 1 2/m 1'
_space_group_IT_number 10
_space_group_name_Hall '-P 2y'
_cell_length_a 7.162
_cell_length_b 4.080
_cell_length_c 7.182
_cell_angle_alpha 90.00
_cell_angle_beta 108.80
_cell_angle_gamma 90.00
loop_
_atom_site_label
_atom_site_type_symbol
_atom_site_fract_x
_atom_site_fract_y
_atom_site_fract_z
K1 K 0.000 0.000 0.000
Nd1 Nd 0.500 0.000 0.500
Nd2 Nd 0.500 0.500 0.000
Sm1 Sm 0.000 0.500 0.500
S1 S 0.251 0.000 0.741
S2 S 0.263 0.500 0.267